The following is a DFT calculation (PBE-GGA) of Nb3Pd3C after structural relaxation.

mass density = 9.48 g cm⁻³
energy relative to the elements = -321.9 meV per atom
final energy = -8.181 eV per atom

Unit cell a=11.956 b=11.956 c=11.956 alpha=90.00 beta=90.00 gamma=90.00
Space group Fd-3m (No. 227, origin choice 2)
Unique sites:
Nb  0.057  0.375  0.375 [48 per cell]
Pd  0.000  0.000  0.500 [16 per cell]
Pd  0.037  0.037  0.713 [32 per cell]
C  0.000  0.000  0.000 [16 per cell]


The following is a DFT calculation (PBE-GGA) of CaCo3Cu after structural relaxation.

mass density = 5.24 g cm⁻³
energy relative to the elements = 2004.5 meV per atom
final energy = -3.479 eV per atom

Unit cell a=4.463 b=4.463 c=4.463 alpha=90.00 beta=90.00 gamma=90.00
Space group Pm-3m (No. 221)
Unique sites:
Ca  0.000  0.000  0.000 [1 per cell]
Co  0.000  0.000  0.500 [3 per cell]
Cu  0.500  0.500  0.500 [1 per cell]


The following is a DFT calculation (PBE-GGA) of ZnNi8Pt2 after structural relaxation.

mass density = 11.59 g cm⁻³
energy relative to the elements = -81.5 meV per atom
final energy = -5.500 eV per atom

Unit cell a=13.042 b=3.666 c=5.769 alpha=90.00 beta=105.99 gamma=90.00
Space group C2/m (No. 12)
Unique sites:
Zn  0.000  0.000  0.000 [2 per cell]
Ni  0.042  0.500  0.724 [4 per cell]
Ni  0.086  0.000  0.452 [4 per cell]
Ni  0.134  0.500  0.175 [4 per cell]
Ni  0.178  0.000  0.910 [4 per cell]
Pt  0.224  0.500  0.645 [4 per cell]


The following is a DFT calculation (PBE-GGA) of YZr4Cu after structural relaxation.

mass density = 5.96 g cm⁻³
energy relative to the elements = 415.0 meV per atom
final energy = -7.044 eV per atom

Unit cell a=8.321 b=8.321 c=8.321 alpha=90.00 beta=90.00 gamma=90.00
Space group F-43m (No. 216)
Unique sites:
Y  0.000  0.000  0.000 [4 per cell]
Zr  0.127  0.127  0.627 [16 per cell]
Cu  0.250  0.250  0.250 [4 per cell]


The following is a DFT calculation (PBE-GGA) of PrGeP after structural relaxation.

mass density = 5.68 g cm⁻³
energy relative to the elements = -782.7 meV per atom
final energy = -5.718 eV per atom

Unit cell a=4.047 b=15.535 c=4.546 alpha=90.00 beta=90.00 gamma=90.00
Space group Cmc2_1 (No. 36)
Unique sites:
Pr  0.000  0.135  0.000 [4 per cell]
Ge  0.000  0.474  0.001 [4 per cell]
P  0.000  0.327  0.000 [4 per cell]


The following is a DFT calculation (PBE-GGA) of Tm5MgIn4 after structural relaxation.

mass density = 8.58 g cm⁻³
energy relative to the elements = -362.1 meV per atom
final energy = -3.853 eV per atom

Unit cell a=3.715 b=3.715 c=18.621 alpha=90.00 beta=90.00 gamma=90.00
Space group P4/mmm (No. 123)
Unique sites:
Tm  0.000  0.000  0.000 [1 per cell]
Tm  0.000  0.000  0.201 [2 per cell]
Tm  0.000  0.000  0.402 [2 per cell]
Mg  0.500  0.500  0.500 [1 per cell]
In  0.500  0.500  0.100 [2 per cell]
In  0.500  0.500  0.304 [2 per cell]


The following is a DFT calculation (PBE-GGA) of LaTb5Ho12 after structural relaxation.

mass density = 8.51 g cm⁻³
energy relative to the elements = 21.6 meV per atom
final energy = -4.590 eV per atom

Unit cell a=18.427 b=10.639 c=6.145 alpha=90.00 beta=109.33 gamma=90.00
Space group C2/m (No. 12)
Unique sites:
La  0.000  0.000  0.000 [2 per cell]
Tb  0.000  0.500  0.500 [2 per cell]
Tb  0.167  0.500  0.000 [4 per cell]
Tb  0.168  0.000  0.502 [4 per cell]
Ho  0.000  0.169  0.500 [4 per cell]
Ho  0.000  0.335  0.000 [4 per cell]
Ho  0.167  0.333  0.499 [8 per cell]
Ho  0.168  0.168  0.001 [8 per cell]


The following is a DFT calculation (PBE-GGA) of LiSb2Au2 after structural relaxation.

mass density = 9.56 g cm⁻³
final energy = -3.601 eV per atom

Unit cell a=4.566 b=4.471 c=11.169 alpha=90.00 beta=100.86 gamma=90.00
Space group P2_1/m (No. 11)
Unique sites:
Li  0.140  0.250  0.329 [2 per cell]
Sb  0.301  0.250  0.038 [2 per cell]
Sb  0.323  0.250  0.674 [2 per cell]
Au  0.117  0.750  0.175 [2 per cell]
Au  0.315  0.750  0.533 [2 per cell]


The following is a DFT calculation (PBE-GGA) of Ac2AgSn5 after structural relaxation.

mass density = 8.13 g cm⁻³
energy relative to the elements = -451.0 meV per atom
final energy = -4.336 eV per atom

Unit cell a=6.854 b=6.854 c=10.046 alpha=90.00 beta=90.00 gamma=90.00
Space group I4mm (No. 107)
Unique sites:
Ac  0.000  0.500  0.000 [4 per cell]
Ag  0.000  0.000  0.420 [2 per cell]
Sn  0.000  0.000  0.962 [2 per cell]
Sn  0.242  0.242  0.746 [8 per cell]


The following is a DFT calculation (PBE-GGA) of InSnCl3 after structural relaxation.

mass density = 3.41 g cm⁻³
final energy = -3.353 eV per atom

Unit cell a=4.211 b=9.191 c=9.636 alpha=67.25 beta=77.49 gamma=76.78
Space group P-1 (No. 2)
Unique sites:
In  0.232  0.223  0.308 [2 per cell]
Sn  0.004  0.779  0.214 [2 per cell]
Cl  0.118  0.861  0.909 [2 per cell]
Cl  0.360  0.861  0.417 [2 per cell]
Cl  0.395  0.427  0.782 [2 per cell]


The following is a DFT calculation (PBE-GGA) of BaTl2GaSe after structural relaxation.

mass density = 6.04 g cm⁻³
final energy = -2.726 eV per atom

Unit cell a=6.112 b=6.112 c=5.115 alpha=90.00 beta=90.00 gamma=90.00
Space group P4/mmm (No. 123)
Unique sites:
Ba  0.000  0.000  0.000 [1 per cell]
Tl  0.000  0.500  0.500 [2 per cell]
Ga  0.500  0.500  0.000 [1 per cell]
Se  0.500  0.500  0.500 [1 per cell]


The following is a DFT calculation (PBE-GGA) of Pm2Zn2In3 after structural relaxation.

mass density = 7.33 g cm⁻³
energy relative to the elements = -315.7 meV per atom
final energy = -3.211 eV per atom

Unit cell a=4.506 b=20.614 c=3.732 alpha=90.00 beta=90.00 gamma=90.00
Space group Cmmm (No. 65)
Unique sites:
Pm  0.000  0.163  0.000 [4 per cell]
Zn  0.000  0.282  0.500 [4 per cell]
In  0.000  0.000  0.000 [2 per cell]
In  0.000  0.424  0.500 [4 per cell]


The following is a DFT calculation (PBE-GGA) of YMg2Co after structural relaxation.

mass density = 3.95 g cm⁻³
energy relative to the elements = 12.4 meV per atom
final energy = -4.177 eV per atom

Unit cell a=3.253 b=4.796 c=10.587 alpha=90.00 beta=90.00 gamma=90.00
Space group Immm (No. 71)
Unique sites:
Y  0.000  0.000  0.000 [2 per cell]
Mg  0.000  0.500  0.203 [4 per cell]
Co  0.000  0.000  0.500 [2 per cell]


The following is a DFT calculation (PBE-GGA) of Ba2ZrP after structural relaxation.

mass density = 4.83 g cm⁻³
energy relative to the elements = -369.0 meV per atom
final energy = -4.820 eV per atom

Unit cell a=3.743 b=3.743 c=9.742 alpha=90.00 beta=90.00 gamma=90.00
Space group P4mm (No. 99)
Unique sites:
Ba  0.000  0.000  0.000 [1 per cell]
Ba  0.500  0.500  0.391 [1 per cell]
Zr  0.500  0.500  0.719 [1 per cell]
P  0.000  0.000  0.664 [1 per cell]


The following is a DFT calculation (PBE-GGA) of DyPaOs after structural relaxation.

mass density = 12.77 g cm⁻³
energy relative to the elements = 95.6 meV per atom
final energy = -8.347 eV per atom

Unit cell a=4.4564 b=4.4564 c=4.4144 alpha=90.00 beta=90.00 gamma=120.00
Space group P3m1 (No. 156)
Unique sites:
Dy  0.0000  0.0000  0.0000 [1 per cell]
Pa  0.6667  0.3333  0.4740 [1 per cell]
Os  0.3333  0.6667  0.5836 [1 per cell]


The following is a DFT calculation (PBE-GGA) of RbScSi after structural relaxation.

mass density = 2.76 g cm⁻³
final energy = -4.274 eV per atom

Unit cell a=6.595 b=8.594 c=6.733 alpha=90.00 beta=90.00 gamma=90.00
Space group Cmm2 (No. 35)
Unique sites:
Rb  0.000  0.000  0.000 [2 per cell]
Rb  0.000  0.500  0.002 [2 per cell]
Sc  0.000  0.213  0.501 [4 per cell]
Si  0.194  0.500  0.502 [4 per cell]


The following is a DFT calculation (PBE-GGA) of LiGe2Pt after structural relaxation.

mass density = 8.38 g cm⁻³
energy relative to the elements = -478.5 meV per atom
final energy = -4.776 eV per atom

Unit cell a=4.1650 b=4.1650 c=13.7390 alpha=90.00 beta=90.00 gamma=120.00
Space group R3m (No. 160, hexagonal axes)
Unique sites:
Li  0.0000  0.0000  0.0000 [3 per cell]
Ge  0.0000  0.0000  0.2171 [3 per cell]
Ge  0.0000  0.0000  0.4145 [3 per cell]
Pt  0.0000  0.0000  0.8078 [3 per cell]


The following is a DFT calculation (PBE-GGA) of Ba2LiRh after structural relaxation.

mass density = 3.99 g cm⁻³
energy relative to the elements = 0.7 meV per atom
final energy = -3.277 eV per atom

Unit cell a=7.715 b=4.429 c=9.676 alpha=90.00 beta=104.72 gamma=90.00
Space group C2/m (No. 12)
Unique sites:
Ba  0.226  0.000  0.182 [4 per cell]
Li  0.000  0.000  0.500 [2 per cell]
Rh  0.000  0.500  0.000 [2 per cell]


The following is a DFT calculation (PBE-GGA) of ZnNi3Pt3 after structural relaxation.

mass density = 13.88 g cm⁻³
energy relative to the elements = -47.9 meV per atom
final energy = -5.297 eV per atom

Unit cell a=7.341 b=7.341 c=7.341 alpha=90.00 beta=90.00 gamma=90.00
Space group P2_13 (No. 198)
Unique sites:
Zn  0.031  0.469  0.531 [4 per cell]
Ni  0.148  0.648  0.852 [4 per cell]
Ni  0.154  0.846  0.346 [4 per cell]
Ni  0.166  0.166  0.166 [4 per cell]
Pt  0.041  0.320  0.869 [12 per cell]


The following is a DFT calculation (PBE-GGA) of CrOs2Se after structural relaxation.

mass density = 14.75 g cm⁻³
final energy = -8.168 eV per atom

Unit cell a=6.130 b=6.130 c=6.130 alpha=90.00 beta=90.00 gamma=90.00
Space group F-43m (No. 216)
Unique sites:
Cr  0.000  0.000  0.000 [4 per cell]
Os  0.000  0.000  0.500 [4 per cell]
Os  0.250  0.250  0.250 [4 per cell]
Se  0.250  0.250  0.750 [4 per cell]


The following is a DFT calculation (PBE-GGA) of MnHgSe after structural relaxation.

mass density = 8.55 g cm⁻³
final energy = -4.354 eV per atom

Unit cell a=3.321 b=6.334 c=6.764 alpha=114.00 beta=90.07 gamma=90.08
Space group P-1 (No. 2)
Unique sites:
Mn  0.250  0.159  0.016 [2 per cell]
Hg  0.250  0.685  0.235 [2 per cell]
Se  0.249  0.789  0.722 [2 per cell]


The following is a DFT calculation (PBE-GGA) of Ca2BeIn after structural relaxation.

mass density = 2.97 g cm⁻³
energy relative to the elements = 331.9 meV per atom
final energy = -2.285 eV per atom

Unit cell a=8.303 b=8.303 c=6.610 alpha=90.00 beta=90.00 gamma=90.00
Space group I-42d (No. 122)
Unique sites:
Ca  0.212  0.250  0.125 [8 per cell]
Be  0.000  0.000  0.000 [4 per cell]
In  0.000  0.000  0.500 [4 per cell]